Entry 1:
First-principles (PBE) data for a geometry-optimized UVH structure, as listed in Alexandria.

Lattice parameters (Å, degrees): 3.4796 3.4796 3.4796 76.47 76.47 76.47
Closest atoms and distances in Å follow each position.
Sites, in units of the cell vectors:
1 H 0.7577 0.7577 0.7577  1 V 1.80
2 U 0.0608 0.0608 0.0608  1 H 2.21
3 V 0.5117 0.5117 0.5117  1 H 1.80

Magnetic moment: 0.0002 μB per atom
Crystal system: trigonal
Excess energy over the best structure of this formula in the dataset: 0.51 eV per formula unit
V: 39 Å³ per cell
SG: R3m (160)

=====

Entry 2:
First-principles (PBE) data for a geometry-optimized Zr6NiRh structure, as listed in Alexandria.

Lattice parameters (Å, degrees): 5.9625 6.0261 6.2268 61.06 76.45 61.03
Closest atoms and distances in Å follow each position.
Sites, in units of the cell vectors:
1 Zr 0.7548 0.4416 0.5930  1 Ni 2.66, 1 Rh 2.72, 1 Zr 2.94
2 Zr 0.7548 0.0347 0.4070  1 Ni 2.66, 1 Rh 2.72, 1 Zr 2.94
3 Zr 0.2452 0.9653 0.5930  1 Ni 2.66, 1 Rh 2.72, 1 Zr 2.94
4 Zr 0.2452 0.5584 0.4070  1 Ni 2.66, 1 Rh 2.72, 1 Zr 2.94
5 Zr 0.7606 0.7573 0.0000  1 Ni 2.49, 1 Rh 2.67
6 Zr 0.2394 0.2427 0.0000  1 Ni 2.49, 1 Rh 2.67
7 Ni 0.0000 0.0000 0.0000  6 Zr 2.49-2.66
8 Rh 0.5000 0.5000 0.0000  6 Zr 2.67-2.72

Energy of formation: 16 kJ/mol of formula units
Magnetic moment: 0.0000 μB per atom
Crystal system: monoclinic
V: 171 Å³ per cell
SG: C2/m (12)

=====

Entry 3:
First-principles (PBE) data for a geometry-optimized Bi3SbS6 structure, as listed in Alexandria.

Lattice parameters (Å, degrees): 4.0083 11.8516 12.0885 107.37 90.00 90.00
Closest atoms and distances in Å follow each position.
Sites, in units of the cell vectors:
1 Bi 0.2500 0.1540 0.5629  6 S 2.79-2.89
2 Bi 0.7500 0.8460 0.4371  6 S 2.79-2.89
3 Bi 0.2500 0.5414 0.3371  3 S 2.63-2.68
4 Bi 0.7500 0.4586 0.6629  3 S 2.63-2.68
5 Bi 0.2500 0.9296 0.8491  6 S 2.73-2.94
6 Bi 0.7500 0.0704 0.1509  6 S 2.73-2.94
7 Sb 0.2500 0.3120 0.0275  3 S 2.51-2.63
8 Sb 0.7500 0.6880 0.9725  3 S 2.51-2.63
9 S 0.2500 0.3776 0.5125  3 Bi 2.68-2.89
10 S 0.7500 0.6224 0.4875  3 Bi 2.68-2.89
11 S 0.2500 0.8911 0.0605  3 Bi 2.73-2.89
12 S 0.7500 0.1089 0.9395  3 Bi 2.73-2.89
13 S 0.2500 0.9367 0.6083  4 Bi 2.79-2.94
14 S 0.7500 0.0633 0.3917  4 Bi 2.79-2.94
15 S 0.2500 0.7361 0.2754  3 Bi 2.63-2.83
16 S 0.7500 0.2639 0.7246  3 Bi 2.63-2.83
17 S 0.2500 0.5454 0.8839  2 Sb 2.63
18 S 0.7500 0.4546 0.1161  2 Sb 2.63
19 S 0.2500 0.2442 0.2051  1 Sb 2.51, 2 Bi 2.81
20 S 0.7500 0.7558 0.7949  1 Sb 2.51, 2 Bi 2.81

Energy relative to the elements, uncorrected: -312 meV per atom
Magnetic moment: 0.0000 μB per atom
Crystal system: monoclinic
Excess energy over the best structure of this formula in the dataset: 0.00 eV per formula unit
V: 548 Å³ per cell
SG: P2_1/m (11)

=====

Entry 4:
First-principles (PBE) data for a geometry-optimized LaCr2Ni structure, as listed in Alexandria.

Lattice parameters (Å, degrees): 4.5559 5.4216 3.0540 76.79 82.73 112.61
Closest atoms and distances in Å follow each position.
Sites, in units of the cell vectors:
1 Cr 0.0000 0.0000 0.0000  2 Cr 2.58, 2 Ni 2.79, 2 La 2.79
2 Cr 0.5000 0.0000 0.5000  2 Cr 2.58, 2 La 2.79, 2 Ni 2.79
3 La 0.0000 0.5000 0.5000  2 Ni 2.58, 4 Cr 2.79
4 Ni 0.5000 0.5000 0.0000  2 La 2.58, 4 Cr 2.79

Energy of formation: 282 kJ/mol of formula units
Magnetic moment: 0.8765 μB per atom
Crystal system: monoclinic
Excess energy over the best structure of this formula in the dataset: 1.95 eV per formula unit
V: 66 Å³ per cell
SG: C2/m (12)

=====

Entry 5:
First-principles (PBE) data for a geometry-optimized BeAlHg2 structure, as listed in Alexandria.

Lattice parameters (Å, degrees): 3.0392 3.0392 7.9185 90.00 90.00 90.00
Closest atoms and distances in Å follow each position.
Sites, in units of the cell vectors:
1 Be 0.5000 0.5000 0.7500  8 Hg 2.74, 4 Be 3.04
2 Hg 0.0000 0.0000 0.9647  4 Be 2.74, 4 Hg 3.04
3 Hg 0.0000 0.0000 0.5353  4 Be 2.74, 4 Hg 3.04
4 Al 0.5000 0.5000 0.2500  4 Al 3.04, 8 Hg 3.12

Energy of formation: 157 kJ/mol of formula units
Magnetic moment: 0.0000 μB per atom
Crystal system: tetragonal
Excess energy over the best structure of this formula in the dataset: 0.72 eV per formula unit
V: 73 Å³ per cell
SG: P4/mmm (123)

=====

Entry 6:
First-principles (PBE) data for a geometry-optimized MgTl2Hg structure, as listed in Alexandria.

Lattice parameters (Å, degrees): 3.7647 5.5037 5.2032 90.00 90.00 90.00
Closest atoms and distances in Å follow each position.
Sites, in units of the cell vectors:
1 Hg 0.5000 0.0000 0.5000  4 Tl 3.21, 4 Mg 3.33
2 Mg 0.0000 0.5000 0.5000  4 Tl 3.21, 4 Hg 3.33
3 Tl 0.0000 0.0000 0.0000  4 Hg 3.21, 4 Tl 3.33
4 Tl 0.5000 0.5000 0.0000  4 Mg 3.21, 4 Tl 3.33

Energy of formation: -1 kJ/mol of formula units
Magnetic moment: 0.0000 μB per atom
Crystal system: orthorhombic
V: 108 Å³ per cell
SG: Pmmm (47)

=====

| no. | E_tot (eV/atom) |
| --- | --- |
| 1 | -7.582 |
| 2 | -8.032 |
| 3 | -4.365 |
| 4 | -6.759 |
| 5 | -1.611 |
| 6 | -1.660 |